1 | # PBE Tb2Ag3Hg4, relaxed
# D(E_F)	15.9	states/eV per cell
# crystal system	orthorhombic
data_Tb2Ag3Hg4
_chemical_formula_sum 'Tb8 Ag12 Hg16'
_cell_length_a 6.095
_cell_length_b 15.701
_cell_length_c 8.712
_cell_angle_alpha 90.00
_cell_angle_beta 90.00
_cell_angle_gamma 90.00
_space_group_name_H-M_alt 'C m c e'
_space_group_IT_number 64
_space_group_name_Hall '-C 2ac 2'
loop_
_atom_site_label
_atom_site_type_symbol
_atom_site_fract_x
_atom_site_fract_y
_atom_site_fract_z
Tb1 Tb 0.000 0.119 0.070
Ag1 Ag 0.000 0.000 0.500
Ag2 Ag 0.250 0.222 0.750
Hg1 Hg 0.000 0.181 0.467
Hg2 Hg 0.250 0.039 0.750



2 | # PBE Tb2Ag3Hg4, relaxed
# D(E_F)	8.3	states/eV per cell
# crystal system	monoclinic
data_Tb2Ag3Hg4
_chemical_formula_sum 'Tb4 Ag6 Hg8'
_cell_length_a 8.565
_cell_length_b 4.961
_cell_length_c 9.415
_cell_angle_alpha 90.00
_cell_angle_beta 90.28
_cell_angle_gamma 90.00
_space_group_name_H-M_alt 'C 1 2/m 1'
_space_group_IT_number 12
_space_group_name_Hall '-C 2y'
loop_
_atom_site_label
_atom_site_type_symbol
_atom_site_fract_x
_atom_site_fract_y
_atom_site_fract_z
Tb1 Tb 0.167 0.000 0.270
Ag1 Ag 0.000 0.500 0.500
Ag2 Ag 0.167 0.000 0.931
Hg1 Hg 0.000 0.500 0.154
Hg2 Hg 0.167 0.000 0.601



Name the most stable of them. 2.



1 | # PBE Tb2AgHg5, relaxed
# D(E_F)	10.5	states/eV per cell
# crystal system	trigonal
data_Tb2AgHg5
_chemical_formula_sum 'Tb6 Ag3 Hg15'
_cell_length_a 4.7420
_cell_length_b 4.7420
_cell_length_c 32.3379
_cell_angle_alpha 90.00
_cell_angle_beta 90.00
_cell_angle_gamma 120.00
_space_group_name_H-M_alt 'R -3 m'
_space_group_IT_number 166
_space_group_name_Hall '-R 3 2"'
loop_
_atom_site_label
_atom_site_type_symbol
_atom_site_fract_x
_atom_site_fract_y
_atom_site_fract_z
Tb1 Tb 0.0000 0.0000 0.0941
Ag1 Ag 0.0000 0.0000 0.0000
Hg1 Hg 0.0000 0.0000 0.2015
Hg2 Hg 0.0000 0.0000 0.3719
Hg3 Hg 0.0000 0.0000 0.5000



2 | # PBE Tb2AgHg5, relaxed
# D(E_F)	9.9	states/eV per cell
# crystal system	tetragonal
data_Tb2AgHg5
_chemical_formula_sum 'Tb4 Ag2 Hg10'
_cell_length_a 5.185
_cell_length_b 5.185
_cell_length_c 14.187
_cell_angle_alpha 90.00
_cell_angle_beta 90.00
_cell_angle_gamma 90.00
_space_group_name_H-M_alt 'I 4/m m m'
_space_group_IT_number 139
_space_group_name_Hall '-I 4 2'
loop_
_atom_site_label
_atom_site_type_symbol
_atom_site_fract_x
_atom_site_fract_y
_atom_site_fract_z
Tb1 Tb 0.000 0.000 0.248
Ag1 Ag 0.000 0.000 0.500
Hg1 Hg 0.000 0.000 0.000
Hg2 Hg 0.000 0.500 0.120



Name the most stable of them. 2.



1 | # PBE Tb4Ag3Hg, relaxed
# D(E_F)	7.6	states/eV per cell
# crystal system	orthorhombic
data_Tb4Ag3Hg
_chemical_formula_sum 'Tb4 Ag3 Hg1'
_cell_length_a 3.696
_cell_length_b 4.864
_cell_length_c 11.309
_cell_angle_alpha 90.00
_cell_angle_beta 90.00
_cell_angle_gamma 90.00
_space_group_name_H-M_alt 'P m m 2'
_space_group_IT_number 25
_space_group_name_Hall 'P 2 -2'
loop_
_atom_site_label
_atom_site_type_symbol
_atom_site_fract_x
_atom_site_fract_y
_atom_site_fract_z
Tb1 Tb 0.000 0.000 0.000
Tb2 Tb 0.000 0.500 0.282
Tb3 Tb 0.500 0.000 0.490
Tb4 Tb 0.500 0.500 0.788
Ag1 Ag 0.000 0.500 0.557
Ag2 Ag 0.500 0.000 0.219
Ag3 Ag 0.500 0.500 0.062
Hg1 Hg 0.000 0.000 0.722



2 | # PBE Tb4Ag3Hg, relaxed
# D(E_F)	6.2	states/eV per cell
# crystal system	tetragonal
data_Tb4Ag3Hg
_chemical_formula_sum 'Tb4 Ag3 Hg1'
_cell_length_a 3.665
_cell_length_b 3.665
_cell_length_c 14.755
_cell_angle_alpha 90.00
_cell_angle_beta 90.00
_cell_angle_gamma 90.00
_space_group_name_H-M_alt 'P 4/m m m'
_space_group_IT_number 123
_space_group_name_Hall '-P 4 2'
loop_
_atom_site_label
_atom_site_type_symbol
_atom_site_fract_x
_atom_site_fract_y
_atom_site_fract_z
Tb1 Tb 0.000 0.000 0.125
Tb2 Tb 0.000 0.000 0.372
Ag1 Ag 0.500 0.500 0.000
Ag2 Ag 0.500 0.500 0.248
Hg1 Hg 0.500 0.500 0.500



Name the most stable of them. 2.



1 | # PBE Tb4AgHg2, relaxed
# D(E_F)	29.7	states/eV per cell
# crystal system	tetragonal
data_Tb4AgHg2
_chemical_formula_sum 'Tb16 Ag4 Hg8'
_cell_length_a 9.135
_cell_length_b 9.135
_cell_length_c 9.248
_cell_angle_alpha 90.00
_cell_angle_beta 90.00
_cell_angle_gamma 90.00
_space_group_name_H-M_alt 'I -4 2 d'
_space_group_IT_number 122
_space_group_name_Hall 'I -4 2bw'
loop_
_atom_site_label
_atom_site_type_symbol
_atom_site_fract_x
_atom_site_fract_y
_atom_site_fract_z
Tb1 Tb 0.074 0.180 0.302
Ag1 Ag 0.000 0.000 0.000
Hg1 Hg 0.124 0.250 0.625



2 | # PBE Tb4AgHg2, relaxed
# D(E_F)	22.1	states/eV per cell
# crystal system	trigonal
data_Tb4AgHg2
_chemical_formula_sum 'Tb12 Ag3 Hg6'
_cell_length_a 5.1756
_cell_length_b 5.1756
_cell_length_c 25.2968
_cell_angle_alpha 90.00
_cell_angle_beta 90.00
_cell_angle_gamma 120.00
_space_group_name_H-M_alt 'R -3 m'
_space_group_IT_number 166
_space_group_name_Hall '-R 3 2"'
loop_
_atom_site_label
_atom_site_type_symbol
_atom_site_fract_x
_atom_site_fract_y
_atom_site_fract_z
Tb1 Tb 0.0000 0.0000 0.1231
Tb2 Tb 0.0000 0.0000 0.3737
Ag1 Ag 0.0000 0.0000 0.5000
Hg1 Hg 0.0000 0.0000 0.2520



Name the most stable of them. 2.



1 | # PBE Tb4Ag2Hg, relaxed
# D(E_F)	31.8	states/eV per cell
# crystal system	trigonal
data_Tb4Ag2Hg
_chemical_formula_sum 'Tb12 Ag6 Hg3'
_cell_length_a 4.9522
_cell_length_b 4.9522
_cell_length_c 28.6576
_cell_angle_alpha 90.00
_cell_angle_beta 90.00
_cell_angle_gamma 120.00
_space_group_name_H-M_alt 'R -3 m'
_space_group_IT_number 166
_space_group_name_Hall '-R 3 2"'
loop_
_atom_site_label
_atom_site_type_symbol
_atom_site_fract_x
_atom_site_fract_y
_atom_site_fract_z
Tb1 Tb 0.0000 0.0000 0.1212
Tb2 Tb 0.0000 0.0000 0.2958
Ag1 Ag 0.0000 0.0000 0.4002
Hg1 Hg 0.0000 0.0000 0.5000



2 | # PBE Tb4Ag2Hg, relaxed
# D(E_F)	22.0	states/eV per cell
# crystal system	trigonal
data_Tb4Ag2Hg
_chemical_formula_sum 'Tb12 Ag6 Hg3'
_cell_length_a 5.1614
_cell_length_b 5.1614
_cell_length_c 24.8355
_cell_angle_alpha 90.00
_cell_angle_beta 90.00
_cell_angle_gamma 120.00
_space_group_name_H-M_alt 'R -3 m'
_space_group_IT_number 166
_space_group_name_Hall '-R 3 2"'
loop_
_atom_site_label
_atom_site_type_symbol
_atom_site_fract_x
_atom_site_fract_y
_atom_site_fract_z
Tb1 Tb 0.0000 0.0000 0.1197
Tb2 Tb 0.0000 0.0000 0.3717
Ag1 Ag 0.0000 0.0000 0.2486
Hg1 Hg 0.0000 0.0000 0.5000



Name the most stable of them. 2.



1 | # PBE AgHg2Te, relaxed
# D(E_F)	3.9	states/eV per cell
# crystal system	orthorhombic
data_AgHg2Te
_chemical_formula_sum 'Ag2 Hg4 Te2'
_cell_length_a 4.552
_cell_length_b 6.262
_cell_length_c 7.544
_cell_angle_alpha 90.00
_cell_angle_beta 90.00
_cell_angle_gamma 90.00
_space_group_name_H-M_alt 'I m m 2'
_space_group_IT_number 44
_space_group_name_Hall 'I 2 -2'
loop_
_atom_site_label
_atom_site_type_symbol
_atom_site_fract_x
_atom_site_fract_y
_atom_site_fract_z
Ag1 Ag 0.000 0.000 0.000
Hg1 Hg 0.000 0.000 0.485
Hg2 Hg 0.000 0.500 0.735
Te1 Te 0.000 0.500 0.273



2 | # PBE AgHg2Te, relaxed
# D(E_F)	4.7	states/eV per cell
# crystal system	tetragonal
data_AgHg2Te
_chemical_formula_sum 'Ag2 Hg4 Te2'
_cell_length_a 4.095
_cell_length_b 4.095
_cell_length_c 13.371
_cell_angle_alpha 90.00
_cell_angle_beta 90.00
_cell_angle_gamma 90.00
_space_group_name_H-M_alt 'I 4/m m m'
_space_group_IT_number 139
_space_group_name_Hall '-I 4 2'
loop_
_atom_site_label
_atom_site_type_symbol
_atom_site_fract_x
_atom_site_fract_y
_atom_site_fract_z
Ag1 Ag 0.000 0.000 0.000
Hg1 Hg 0.000 0.500 0.250
Te1 Te 0.000 0.000 0.500



3 | # PBE AgHg2Te, relaxed
# D(E_F)	0.5	states/eV per cell
# crystal system	tetragonal
data_AgHg2Te
_chemical_formula_sum 'Ag1 Hg2 Te1'
_cell_length_a 4.242
_cell_length_b 4.242
_cell_length_c 6.007
_cell_angle_alpha 90.00
_cell_angle_beta 90.00
_cell_angle_gamma 90.00
_space_group_name_H-M_alt 'P 4 m m'
_space_group_IT_number 99
_space_group_name_Hall 'P 4 -2'
loop_
_atom_site_label
_atom_site_type_symbol
_atom_site_fract_x
_atom_site_fract_y
_atom_site_fract_z
Ag1 Ag 0.000 0.000 0.000
Hg1 Hg 0.000 0.000 0.500
Hg2 Hg 0.500 0.500 0.499
Te1 Te 0.500 0.500 0.999



Name the most stable of them. 3.